# 1
VASP calculation (GGA-PBE) on a relaxed Mg2Ta5Al crystal. Values from VASP.

Quantum ESPRESSO input file:
```
&SYSTEM
  ibrav = 0, nat = 8, ntyp = 3
/
ATOMIC_SPECIES
Mg 24.30 Mg.upf
Ta 180.95 Ta.upf
Al 26.98 Al.upf
ATOMIC_POSITIONS crystal
Mg 0.000 0.000 0.118
Mg 0.000 0.000 0.882
Ta 0.000 0.000 0.500
Ta 0.000 0.500 0.321
Ta 0.000 0.500 0.679
Ta 0.500 0.000 0.321
Ta 0.500 0.000 0.679
Al 0.500 0.500 0.500
CELL_PARAMETERS angstrom
3.858 0.000 0.000
0.000 3.858 0.000
0.000 0.000 12.520
```

Values from the calculation:
- spin magnetization (μB per cell) = 0.002
- V (Å³ per atom) = 23.3
- E_tot (eV per atom) = -7.872

***

# 2
VASP calculation (GGA-PBE) on a relaxed Sr2Al4PdPt crystal. Values from VASP.

Quantum ESPRESSO input file:
```
&SYSTEM
  ibrav = 0, nat = 8, ntyp = 4
/
ATOMIC_SPECIES
Sr 87.62 Sr.upf
Al 26.98 Al.upf
Pd 106.42 Pd.upf
Pt 195.08 Pt.upf
ATOMIC_POSITIONS crystal
Sr 0.000 0.000 0.000
Sr 0.500 0.098 0.098
Al 0.189 0.726 0.726
Al 0.309 0.374 0.374
Al 0.691 0.374 0.374
Al 0.811 0.726 0.726
Pd 0.500 0.828 0.828
Pt 0.000 0.272 0.272
CELL_PARAMETERS angstrom
7.435 0.000 0.000
0.000 2.127 5.666
0.000 -2.127 5.666
```

Values from the calculation:
- spin magnetization (μB per cell) = 0.003
- V (Å³ per atom) = 22.4
- E_tot (eV per atom) = -4.413

***

# 3
VASP calculation (GGA-PBE) on a relaxed K2CdO4 crystal. Values from VASP.

Quantum ESPRESSO input file:
```
&SYSTEM
  ibrav = 0, nat = 14, ntyp = 3
/
ATOMIC_SPECIES
K 39.10 K.upf
Cd 112.41 Cd.upf
O 16.00 O.upf
ATOMIC_POSITIONS crystal
K 0.000 0.000 0.000
K 0.000 0.000 0.500
K 0.000 0.500 0.000
K 0.500 0.000 0.000
Cd 0.375 0.375 0.375
Cd 0.625 0.625 0.625
O 0.258 0.258 0.258
O 0.258 0.258 0.725
O 0.258 0.725 0.258
O 0.275 0.742 0.742
O 0.725 0.258 0.258
O 0.742 0.275 0.742
O 0.742 0.742 0.275
O 0.742 0.742 0.742
CELL_PARAMETERS angstrom
0.000 5.084 5.084
5.084 0.000 5.084
5.084 5.084 0.000
```

Values from the calculation:
- V (Å³ per atom) = 18.8
- E_tot (eV per atom) = -3.395

***

Question: Among the records above, which one has the highest E_tot?
Answer: K2CdO4